Entry 1:
A PBEsol-optimized structure of Mg2SiTe. Source: Alexandria via LeMat-Bulk, functional meta-GGA SCAN.

CIF file:
```
data_Mg2SiTe
_chemical_formula_sum 'Mg4 Si2 Te2'
_cell_length_a 4.094
_cell_length_b 5.206
_cell_length_c 8.094
_cell_angle_alpha 90.00
_cell_angle_beta 90.00
_cell_angle_gamma 90.00
_symmetry_space_group_name_H-M 'I m m m'
_symmetry_Int_Tables_number 71
_symmetry_space_group_name_Hall '-I 2 2'
loop_
_atom_site_label
_atom_site_type_symbol
_atom_site_fract_x
_atom_site_fract_y
_atom_site_fract_z
Mg1 Mg 0.000 0.000 0.229
Si1 Si 0.000 0.500 0.500
Te1 Te 0.000 0.500 0.000
```

Computed properties:
The calculation puts the total DFT energy (no corrections) at -14.267 eV/atom. The formation energy (no corrections) comes out at 0.04 eV per atom. Its volume is 172.5 Å³/cell.

=====

Entry 2:
A PBEsol-optimized structure of Mg2SiTe. Source: Alexandria via LeMat-Bulk, functional meta-GGA SCAN.

CIF file:
```
data_Mg2SiTe
_chemical_formula_sum 'Mg8 Si4 Te4'
_cell_length_a 7.012
_cell_length_b 7.012
_cell_length_c 7.012
_cell_angle_alpha 90.00
_cell_angle_beta 90.00
_cell_angle_gamma 90.00
_symmetry_space_group_name_H-M 'F -4 3 m'
_symmetry_Int_Tables_number 216
_symmetry_space_group_name_Hall 'F -4 2 3'
loop_
_atom_site_label
_atom_site_type_symbol
_atom_site_fract_x
_atom_site_fract_y
_atom_site_fract_z
Mg1 Mg 0.000 0.000 0.000
Mg2 Mg 0.250 0.250 0.250
Si1 Si 0.250 0.250 0.750
Te1 Te 0.000 0.000 0.500
```

Computed properties:
The calculation puts the total DFT energy (no corrections) at -14.029 eV/atom. The formation energy (no corrections) comes out at 0.27 eV per atom. Its volume is 344.7 Å³/cell.

=====

Entry 3:
A PBEsol-optimized structure of Mg2SiTe. Source: Alexandria via LeMat-Bulk, functional meta-GGA SCAN.

CIF file:
```
data_Mg2SiTe
_chemical_formula_sum 'Mg2 Si1 Te1'
_cell_length_a 3.712
_cell_length_b 3.712
_cell_length_c 6.167
_cell_angle_alpha 90.00
_cell_angle_beta 90.00
_cell_angle_gamma 90.00
_symmetry_space_group_name_H-M 'P 4/m m m'
_symmetry_Int_Tables_number 123
_symmetry_space_group_name_Hall '-P 4 2'
loop_
_atom_site_label
_atom_site_type_symbol
_atom_site_fract_x
_atom_site_fract_y
_atom_site_fract_z
Mg1 Mg 0.000 0.000 0.233
Si1 Si 0.500 0.500 0.000
Te1 Te 0.500 0.500 0.500
```

Computed properties:
The calculation puts the total DFT energy (no corrections) at -14.327 eV/atom. The formation energy (no corrections) comes out at -0.02 eV per atom. Its volume is 85.0 Å³/cell.

=====

Entry 4:
A PBEsol-optimized structure of Mg2TlSi. Source: Alexandria via LeMat-Bulk, functional meta-GGA SCAN.

CIF file:
```
data_Mg2TlSi
_chemical_formula_sum 'Mg2 Tl1 Si1'
_cell_length_a 3.272
_cell_length_b 3.651
_cell_length_c 6.933
_cell_angle_alpha 90.00
_cell_angle_beta 90.00
_cell_angle_gamma 90.00
_symmetry_space_group_name_H-M 'P m m m'
_symmetry_Int_Tables_number 47
_symmetry_space_group_name_Hall '-P 2 2'
loop_
_atom_site_label
_atom_site_type_symbol
_atom_site_fract_x
_atom_site_fract_y
_atom_site_fract_z
Mg1 Mg 0.000 0.000 0.217
Tl1 Tl 0.500 0.500 0.500
Si1 Si 0.500 0.500 0.000
```

Computed properties:
The calculation puts the total DFT energy (no corrections) at -23.018 eV/atom. The formation energy (no corrections) comes out at 0.06 eV per atom. Its volume is 82.8 Å³/cell.

=====

Entry 5:
A PBEsol-optimized structure of Mg2TlSi. Source: Alexandria via LeMat-Bulk, functional meta-GGA SCAN.

CIF file:
```
data_Mg2TlSi
_chemical_formula_sum 'Mg2 Tl1 Si1'
_cell_length_a 4.538
_cell_length_b 4.538
_cell_length_c 3.985
_cell_angle_alpha 90.00
_cell_angle_beta 90.00
_cell_angle_gamma 90.00
_symmetry_space_group_name_H-M 'P 4/m m m'
_symmetry_Int_Tables_number 123
_symmetry_space_group_name_Hall '-P 4 2'
loop_
_atom_site_label
_atom_site_type_symbol
_atom_site_fract_x
_atom_site_fract_y
_atom_site_fract_z
Mg1 Mg 0.000 0.500 0.000
Tl1 Tl 0.000 0.000 0.500
Si1 Si 0.500 0.500 0.500
```

Computed properties:
The calculation puts the total DFT energy (no corrections) at -23.007 eV/atom. The formation energy (no corrections) comes out at 0.07 eV per atom. Its volume is 82.1 Å³/cell.

=====

Entry 6:
A PBEsol-optimized structure of MgTl2Si. Source: Alexandria via LeMat-Bulk, functional meta-GGA SCAN.

CIF file:
```
data_MgTl2Si
_chemical_formula_sum 'Mg2 Tl4 Si2'
_cell_length_a 4.609
_cell_length_b 4.891
_cell_length_c 8.182
_cell_angle_alpha 90.00
_cell_angle_beta 90.00
_cell_angle_gamma 90.00
_symmetry_space_group_name_H-M 'C m m m'
_symmetry_Int_Tables_number 65
_symmetry_space_group_name_Hall '-C 2 2'
loop_
_atom_site_label
_atom_site_type_symbol
_atom_site_fract_x
_atom_site_fract_y
_atom_site_fract_z
Mg1 Mg 0.000 0.000 0.000
Tl1 Tl 0.000 0.500 0.263
Si1 Si 0.000 0.000 0.500
```

Computed properties:
The calculation puts the total DFT energy (no corrections) at -39.580 eV/atom. The formation energy (no corrections) comes out at 0.35 eV per atom. Its volume is 184.4 Å³/cell.

=====

Entry 7:
A PBEsol-optimized structure of MgTl2Si. Source: Alexandria via LeMat-Bulk, functional meta-GGA SCAN.

CIF file:
```
data_MgTl2Si
_chemical_formula_sum 'Mg1 Tl2 Si1'
_cell_length_a 3.361
_cell_length_b 3.361
_cell_length_c 8.274
_cell_angle_alpha 90.00
_cell_angle_beta 90.00
_cell_angle_gamma 90.00
_symmetry_space_group_name_H-M 'P 4 m m'
_symmetry_Int_Tables_number 99
_symmetry_space_group_name_Hall 'P 4 -2'
loop_
_atom_site_label
_atom_site_type_symbol
_atom_site_fract_x
_atom_site_fract_y
_atom_site_fract_z
Mg1 Mg 0.000 0.000 0.000
Tl1 Tl 0.000 0.000 0.426
Tl2 Tl 0.500 0.500 0.737
Si1 Si 0.500 0.500 0.180
```

Computed properties:
The calculation puts the total DFT energy (no corrections) at -39.723 eV/atom. The formation energy (no corrections) comes out at 0.20 eV per atom. Its volume is 93.5 Å³/cell.

=====

Entry 8:
A PBEsol-optimized structure of MgTl2Si. Source: Alexandria via LeMat-Bulk, functional meta-GGA SCAN.

CIF file:
```
data_MgTl2Si
_chemical_formula_sum 'Mg2 Tl4 Si2'
_cell_length_a 4.531
_cell_length_b 4.531
_cell_length_c 8.957
_cell_angle_alpha 90.00
_cell_angle_beta 90.00
_cell_angle_gamma 90.00
_symmetry_space_group_name_H-M 'I 4/m m m'
_symmetry_Int_Tables_number 139
_symmetry_space_group_name_Hall '-I 4 2'
loop_
_atom_site_label
_atom_site_type_symbol
_atom_site_fract_x
_atom_site_fract_y
_atom_site_fract_z
Mg1 Mg 0.000 0.000 0.000
Tl1 Tl 0.000 0.500 0.250
Si1 Si 0.000 0.000 0.500
```

Computed properties:
The calculation puts the total DFT energy (no corrections) at -39.606 eV/atom. The formation energy (no corrections) comes out at 0.32 eV per atom. Its volume is 183.9 Å³/cell.

=====

What is the formula in the fifth record?
Mg2TlSi

=====

Please write out number 3 again, unchanged.
A PBEsol-optimized structure of Mg2SiTe. Source: Alexandria via LeMat-Bulk, functional meta-GGA SCAN.

CIF file:
```
data_Mg2SiTe
_chemical_formula_sum 'Mg2 Si1 Te1'
_cell_length_a 3.712
_cell_length_b 3.712
_cell_length_c 6.167
_cell_angle_alpha 90.00
_cell_angle_beta 90.00
_cell_angle_gamma 90.00
_symmetry_space_group_name_H-M 'P 4/m m m'
_symmetry_Int_Tables_number 123
_symmetry_space_group_name_Hall '-P 4 2'
loop_
_atom_site_label
_atom_site_type_symbol
_atom_site_fract_x
_atom_site_fract_y
_atom_site_fract_z
Mg1 Mg 0.000 0.000 0.233
Si1 Si 0.500 0.500 0.000
Te1 Te 0.500 0.500 0.500
```

Computed properties:
The calculation puts the total DFT energy (no corrections) at -14.327 eV/atom. The formation energy (no corrections) comes out at -0.02 eV per atom. Its volume is 85.0 Å³/cell.